Mg2ZnRh | PBE | relaxed

Unit cell a=5.2815 b=5.2815 c=4.3887 alpha=114.40 beta=114.40 gamma=36.26
Closest atoms and distances in Å follow each position.
Fractional positions:
Mg1 0.0000 0.0000 0.0000  4 Rh 2.75, 2 Zn 2.86, 4 Mg 2.98-2.99
Mg2 0.2237 0.2237 0.7238  2 Rh 2.74, 4 Zn 2.76, 4 Mg 2.98-2.99
Zn1 0.7595 0.7595 0.2601  2 Rh 2.59, 6 Mg 2.76-2.86
Rh1 0.4812 0.4812 0.4809  2 Zn 2.59, 6 Mg 2.74-2.75

Calculated values
Its energy of formation is -0.369 eV/atom. The calculation puts the magnetic moment at 0.0 μB/cell. The calculation puts the total DFT energy (no corrections) at -3.3228 eV/atom.



Zn4Ir2Pd | PBE | relaxed

Unit cell a=5.2112 b=5.2112 c=5.2112 alpha=109.11 beta=109.11 gamma=110.20
Closest atoms and distances in Å follow each position.
Fractional positions:
Zn1 0.0000 0.0000 0.5000  4 Ir 2.61, 2 Pd 2.61
Zn2 0.0000 0.5000 0.0000  4 Ir 2.61, 2 Pd 2.61
Zn3 0.5000 0.0000 0.0000  4 Ir 2.61, 2 Pd 2.61
Zn4 0.5000 0.5000 0.5000  4 Ir 2.61, 2 Pd 2.61
Ir1 0.0000 0.5000 0.5000  8 Zn 2.61
Ir2 0.5000 0.0000 0.5000  8 Zn 2.61
Pd1 0.0000 0.0000 0.0000  8 Zn 2.61

Calculated values
Its energy of formation is -0.298 eV/atom. The calculation puts the magnetic moment at 0.0 μB/cell. The calculation puts the total DFT energy (no corrections) at -4.2998 eV/atom.



KIn4Ga3 | PBE | relaxed

Unit cell a=4.9607 b=4.9607 c=8.6149 alpha=90.00 beta=90.00 gamma=90.00
Closest atoms and distances in Å follow each position.
Fractional positions:
K1 0.0000 0.0000 0.0000  8 In 3.69, 8 Ga 3.73
In1 0.0000 0.5000 0.3167  4 Ga 2.87-2.94, 1 In 3.16
In2 0.0000 0.5000 0.6833  4 Ga 2.87-2.94, 1 In 3.16
In3 0.5000 0.0000 0.3167  4 Ga 2.87-2.94, 1 In 3.16
In4 0.5000 0.0000 0.6833  4 Ga 2.87-2.94, 1 In 3.16
Ga1 0.0000 0.0000 0.5000  8 In 2.94
Ga2 0.5000 0.5000 0.1481  1 Ga 2.55
Ga3 0.5000 0.5000 0.8519  1 Ga 2.55

Calculated values
Its energy of formation is -0.091 eV/atom. The calculation puts the magnetic moment at 0.0 μB/cell. The calculation puts the total DFT energy (no corrections) at -2.7327 eV/atom.



Ti2Tc2Te | PBE | relaxed

Unit cell a=6.2000 b=6.2000 c=6.2000 alpha=141.11 beta=141.11 gamma=56.17
Closest atoms and distances in Å follow each position.
Fractional positions:
Ti1 0.2500 0.7500 0.5000  4 Tc 2.55
Ti2 0.7500 0.2500 0.5000  4 Tc 2.55
Tc1 0.1131 0.1131 0.0000  1 Tc 2.47, 4 Ti 2.55
Tc2 0.8869 0.8869 0.0000  1 Tc 2.47, 4 Ti 2.55
Te1 0.5000 0.5000 0.0000  8 Tc 3.17, 8 Ti 3.43

Calculated values
The calculation puts the magnetic moment at 0.0 μB/cell. The calculation puts the total DFT energy (no corrections) at -7.6974 eV/atom. For the polymorph energy (0 for the lowest one), the calculation gives 202 meV per atom. The formation energy without anion corrections is 0.24 eV per atom.



Dy8AgPd2 | PBE | relaxed

Unit cell a=9.2493 b=9.2493 c=6.8141 alpha=105.49 beta=105.49 gamma=32.01
Closest atoms and distances in Å follow each position.
Fractional positions:
Dy1 0.0321 0.0321 0.2756  1 Pd 2.77
Dy2 0.2011 0.2011 0.8320  1 Pd 2.82
Dy3 0.3277 0.3277 0.5142  1 Pd 2.77, 1 Ag 3.09
Dy4 0.4071 0.4071 0.0309  1 Ag 3.16, 2 Pd 3.26, 7 Dy 3.41-3.53
Dy5 0.5929 0.5929 0.9691  1 Ag 3.16, 2 Pd 3.26, 7 Dy 3.41-3.53
Dy6 0.6723 0.6723 0.4858  1 Pd 2.77, 1 Ag 3.09
Dy7 0.7989 0.7989 0.1680  1 Pd 2.82
Dy8 0.9679 0.9679 0.7244  1 Pd 2.77
Ag1 0.5000 0.5000 0.5000  8 Dy 3.09-3.16
Pd1 0.1821 0.1821 0.2300  3 Dy 2.77-2.82
Pd2 0.8179 0.8179 0.7700  3 Dy 2.77-2.82

Calculated values
Its energy of formation is -0.361 eV/atom. The calculation puts the magnetic moment at 0.0 μB/cell. The calculation puts the total DFT energy (no corrections) at -4.9109 eV/atom. For the polymorph energy (0 for the lowest one), the calculation gives 0 meV per atom.



Ce2HoCuSe5 | PBE | relaxed

Unit cell a=8.8621 b=8.8621 c=12.3937 alpha=90.00 beta=90.00 gamma=153.65
Closest atoms and distances in Å follow each position.
Fractional positions:
Ce1 0.1112 0.8888 0.5000  7 Se 3.00-3.19
Ce2 0.1189 0.8811 0.8477  8 Se 3.00-3.20
Ce3 0.8811 0.1189 0.3477  8 Se 3.00-3.20
Ce4 0.8888 0.1112 0.0000  7 Se 3.00-3.19
Ho1 0.1789 0.8211 0.1776  6 Se 2.80-2.88
Ho2 0.8211 0.1789 0.6776  6 Se 2.80-2.88
Cu1 0.4449 0.5551 0.5765  4 Se 2.39-2.48
Cu2 0.5551 0.4449 0.0765  4 Se 2.39-2.48
Se1 0.0166 0.9834 0.1714  2 Cu 2.43
Se2 0.3038 0.6962 0.8396  2 Ho 2.86, 3 Ce 3.19
Se3 0.3089 0.6911 0.5126  1 Cu 2.48
Se4 0.3444 0.6556 0.1724  1 Ho 2.86, 4 Ce 3.03-3.04
Se5 0.4963 0.5037 0.9014  1 Cu 2.39
Se6 0.5037 0.4963 0.4014  1 Cu 2.39
Se7 0.6556 0.3444 0.6724  1 Ho 2.86, 4 Ce 3.03-3.04
Se8 0.6911 0.3089 0.0126  1 Cu 2.48
Se9 0.6962 0.3038 0.3396  2 Ho 2.86, 3 Ce 3.19
Se10 0.9834 0.0166 0.6714  2 Cu 2.43

Calculated values
The calculation puts the magnetic moment at 3.8 μB/cell. The calculation puts the total DFT energy (no corrections) at -5.7911 eV/atom. The formation energy without anion corrections is -1.57 eV per atom.



Fe2Co2Ni3 | PBE | relaxed

Unit cell a=4.3391 b=4.3391 c=5.6720 alpha=97.71 beta=97.71 gamma=47.66
Closest atoms and distances in Å follow each position.
Fractional positions:
Fe1 0.0710 0.0710 0.2189  6 Ni 2.49-2.52, 5 Co 2.50-2.53, 1 Fe 2.57
Fe2 0.9290 0.9290 0.7811  6 Ni 2.49-2.52, 5 Co 2.50-2.53, 1 Fe 2.57
Co1 0.3561 0.3561 0.0708  3 Co 2.48-2.53, 4 Ni 2.50-2.53, 5 Fe 2.50-2.53
Co2 0.6439 0.6439 0.9292  3 Co 2.48-2.53, 4 Ni 2.50-2.53, 5 Fe 2.50-2.53
Ni1 0.2140 0.2140 0.6452  4 Fe 2.49-2.52, 5 Ni 2.50-2.53, 3 Co 2.50-2.51
Ni2 0.5000 0.5000 0.5000  4 Fe 2.49, 6 Ni 2.50-2.53, 2 Co 2.53
Ni3 0.7860 0.7860 0.3548  4 Fe 2.49-2.52, 5 Ni 2.50-2.53, 3 Co 2.50-2.51

Calculated values
Its energy of formation is -0.025 eV/atom. The calculation puts the magnetic moment at 10.4 μB/cell. The calculation puts the total DFT energy (no corrections) at -6.9505 eV/atom. For the polymorph energy (0 for the lowest one), the calculation gives 0 meV per atom.



RbCo3Cl | PBE | relaxed

Unit cell a=4.4110 b=4.4110 c=4.4110 alpha=90.00 beta=90.00 gamma=90.00
Closest atoms and distances in Å follow each position.
Fractional positions:
Rb1 0.0000 0.0000 0.0000  12 Co 3.12
Co1 0.0000 0.5000 0.5000  2 Cl 2.21
Co2 0.5000 0.0000 0.5000  2 Cl 2.21
Co3 0.5000 0.5000 0.0000  2 Cl 2.21
Cl1 0.5000 0.5000 0.5000  6 Co 2.21

Calculated values
The calculation puts the magnetic moment at 3.0 μB/cell. The calculation puts the total DFT energy (no corrections) at -3.6778 eV/atom. For the polymorph energy (0 for the lowest one), the calculation gives 0 meV per atom. The formation energy without anion corrections is 1.15 eV per atom.



CeYTh2N4 | PBE | relaxed

Unit cell a=6.2269 b=3.5995 c=6.2410 alpha=90.00 beta=109.46 gamma=90.00
Closest atoms and distances in Å follow each position.
Fractional positions:
Ce1 0.0000 0.0000 0.0000  6 N 2.54
Y1 0.0000 0.5000 0.5000  6 N 2.52-2.53
Th1 0.5000 0.0000 0.5000  6 N 2.55
Th2 0.5000 0.5000 0.0000  6 N 2.56-2.57
N1 0.2461 0.5000 0.2516  1 Y 2.52, 2 Ce 2.54, 3 Th 2.55-2.57
N2 0.2467 0.0000 0.7478  2 Y 2.53, 1 Ce 2.54, 3 Th 2.55-2.56
N3 0.7533 0.0000 0.2522  2 Y 2.53, 1 Ce 2.54, 3 Th 2.55-2.56
N4 0.7539 0.5000 0.7484  1 Y 2.52, 2 Ce 2.54, 3 Th 2.55-2.57

Calculated values
The calculation puts the magnetic moment at 0.0 μB/cell. The calculation puts the total DFT energy (no corrections) at -9.1426 eV/atom. The formation energy without anion corrections is -1.58 eV per atom.